KAl2Hg2 | PBE-GGA | relaxed

For the formation energy, the calculation gives 77 meV per atom. The relative energy among the computed polymorphs comes out at 0.0990 eV per atom.

The space group is P4/mbm (No. 127) and the conventional cell measures 8.6892, 8.6892 and 3.1878 Å, with angles of 90.00, 90.00 and 90.00 degrees. Symmetry generates all atoms from K at (0.0000, 0.0000, 0.0000), Al at (0.1193, 0.3807, 0.0000) and Hg at (0.1728, 0.6728, 0.5000).



Th2Ga4HgPd3 | PBE-GGA | relaxed

For the formation energy, the calculation gives -657 meV per atom.

The space group is P-4m2 (No. 115) and the conventional cell measures 4.3548, 4.3548 and 10.5485 Å, with angles of 90.00, 90.00 and 90.00 degrees. Symmetry generates all atoms from Th at (0.0000, 0.5000, 0.2416), Ga at (0.0000, 0.0000, 0.0000), Ga at (0.0000, 0.5000, 0.6437), Ga at (0.5000, 0.5000, 0.0000), Hg at (0.0000, 0.0000, 0.5000), Pd at (0.0000, 0.5000, 0.8750) and Pd at (0.5000, 0.5000, 0.5000).



La3SeBr3 | PBE-GGA | relaxed

The formation energy from raw total energies is -1751 meV per atom.

The space group is I4_132 (No. 214) and the conventional cell measures 12.1263, 12.1263 and 12.1263 Å, with angles of 90.00, 90.00 and 90.00 degrees. Symmetry generates all atoms from La at (0.1158, 0.3658, 0.1250), Se at (0.1250, 0.1250, 0.1250) and Br at (0.1173, 0.1327, 0.6250).



Y5Ni | PBE-GGA | relaxed

For the formation energy, the calculation gives 839 meV per atom. The relative energy among the computed polymorphs comes out at 0.9264 eV per atom.

The space group is P6/mmm (No. 191) and the conventional cell measures 6.2117, 6.2117 and 5.8927 Å, with angles of 90.00, 90.00 and 120.00 degrees. Symmetry generates all atoms from Y at (0.0000, 0.5000, 0.0000), Y at (0.3333, 0.6667, 0.5000) and Ni at (0.0000, 0.0000, 0.5000).



YReCl2 | PBE-GGA | relaxed

The formation energy from raw total energies is -56 meV per atom. The relative energy among the computed polymorphs comes out at 0.4226 eV per atom.

The space group is I-42d (No. 122) and the conventional cell measures 4.4347, 4.4347 and 16.5969 Å, with angles of 90.00, 90.00 and 90.00 degrees. Symmetry generates all atoms from Y at (0.0000, 0.0000, 0.0000), Re at (0.0000, 0.0000, 0.5000) and Cl at (0.2139, 0.2500, 0.6250).



KTlHO2 | PBE-GGA | relaxed

The value obtained for the raw total energy is -4.1964 eV/atom.

The space group is P2/c (No. 13) and the conventional cell measures 5.9917, 4.0506 and 6.9989 Å, with angles of 90.00, 103.38 and 90.00 degrees. Symmetry generates all atoms from K at (0.0000, 0.1572, 0.2500), Tl at (0.5000, 0.4260, 0.7500), H at (0.5000, 0.0000, 0.0000) and O at (0.3288, 0.1694, 0.0069).



Cd3Ga12Sb5 | PBE-GGA | relaxed

The formation energy from raw total energies is 114 meV per atom.

The space group is Ia-3d (No. 230) and the conventional cell measures 16.1645, 16.1645 and 16.1645 Å, with angles of 90.00, 90.00 and 90.00 degrees. Symmetry generates all atoms from Cd at (0.0000, 0.2500, 0.1250), Ga at (0.0149, 0.0844, 0.6542), Sb at (0.0000, 0.0000, 0.0000) and Sb at (0.0000, 0.2500, 0.3750).



LaCrN2 | PBE-GGA | relaxed

The formation energy from raw total energies is 91 meV per atom.

The space group is R-3m (No. 166, hexagonal axes) and the conventional cell measures 3.1290, 3.1290 and 19.3212 Å, with angles of 90.00, 90.00 and 120.00 degrees. Symmetry generates all atoms from La at (0.0000, 0.0000, 0.0000), Cr at (0.0000, 0.0000, 0.5000) and N at (0.0000, 0.0000, 0.1188).



LaEuZnSi | PBE-GGA | relaxed

The formation energy from raw total energies is -406 meV per atom.

The space group is F-43m (No. 216) and the conventional cell measures 7.4186, 7.4186 and 7.4186 Å, with angles of 90.00, 90.00 and 90.00 degrees. Symmetry generates all atoms from La at (0.0000, 0.0000, 0.0000), Eu at (0.0000, 0.0000, 0.5000), Zn at (0.2500, 0.2500, 0.2500) and Si at (0.2500, 0.2500, 0.7500).



TaCu6O8 | PBE-GGA | relaxed

The formation energy from raw total energies is -1004 meV per atom.

The space group is Fm-3m (No. 225) and the conventional cell measures 9.2387, 9.2387 and 9.2387 Å, with angles of 90.00, 90.00 and 90.00 degrees. Symmetry generates all atoms from Ta at (0.0000, 0.0000, 0.0000), Cu at (0.0000, 0.2500, 0.2500) and O at (0.1347, 0.1347, 0.1347).



Tb4MgGa3 | PBE-GGA | relaxed

For the formation energy, the calculation gives -462 meV per atom.

The space group is P4/mmm (No. 123) and the conventional cell measures 5.1333, 5.1333 and 7.2479 Å, with angles of 90.00, 90.00 and 90.00 degrees. Symmetry generates all atoms from Tb at (0.0000, 0.5000, 0.2427), Mg at (0.0000, 0.0000, 0.5000), Ga at (0.0000, 0.0000, 0.0000), Ga at (0.5000, 0.5000, 0.0000) and Ga at (0.5000, 0.5000, 0.5000).



BeTl2Pb2 | PBE-GGA | relaxed

For the formation energy, the calculation gives 335 meV per atom. The relative energy among the computed polymorphs comes out at 0.0000 eV per atom.

The space group is P4/mbm (No. 127) and the conventional cell measures 7.0708, 7.0708 and 5.7254 Å, with angles of 90.00, 90.00 and 90.00 degrees. Symmetry generates all atoms from Be at (0.0000, 0.0000, 0.0000), Tl at (0.1663, 0.3337, 0.5000) and Pb at (0.1604, 0.6604, 0.0000).



For reference, total magnetization by record: 0.000; 0.000; 0.000; 0.000; 0.000; 0.000; 0.000; 0.000; 1.870; 0.000; 0.000; 0.000 μB/atom.
For reference, calculated density by record: 6820; 10483; 5479; 4244; 7041; 5557; 5607; 6657; 6253; 5814; 7557; 9655 kg/m3.